Density functional theory data (PBE+U) for a relaxed KMo2RuO8 crystal.

POSCAR file:
```
KMo2RuO8
1.0
-0.269 -3.441 4.656
5.106 1.061 -2.528
0.937 5.758 4.309
K Mo Ru O
1 2 1 8
direct
0.000 0.000 0.000 K
0.667 0.333 0.260 Mo
0.333 0.667 0.740 Mo
0.000 0.000 0.500 Ru
0.333 0.667 0.982 O
0.322 0.160 0.338 O
0.840 0.162 0.338 O
0.667 0.333 0.018 O
0.160 0.838 0.662 O
0.678 0.840 0.662 O
0.162 0.322 0.662 O
0.838 0.678 0.338 O
```

Properties
DOS(E_F) = 4.3 states/eV/f.u.
Total energy = -6.844 eV per atom